DFT (PBE) results for a geometry-optimized TlRePtBr2 structure.

Cell lengths 5.1333, 5.1333, 5.6157 Å; angles 90.00, 90.00, 90.00 degrees
Space group P4/mmm (No. 123)
Inequivalent atoms, fractional coordinates:
Tl 0.0000 0.0000 0.0000 x1
Re 0.5000 0.5000 0.0000 x1
Pt 0.0000 0.0000 0.5000 x1
Br 0.0000 0.5000 0.5000 x2

Summary:
The value obtained for the density of states at the Fermi level is 2.1 states/eV/cell. As for the energy relative to the elements, uncorrected: 1177 meV per atom.